This record from Alexandria describes Al2Fe3F15 after structural relaxation. The functional is PBE with a Hubbard U.

Computed properties:
Total DFT energy (no corrections): -106.773 eV for the cell shown
V: 274 Å³/cell

a b c (Å): 5.226 5.226 10.835
angles (deg): 101.06 101.06 72.57
Fractional coordinates of all 20 atoms:
1 Al 0.142 0.142 0.153
2 Al 0.858 0.858 0.847
3 Fe 0.124 0.124 0.626
4 Fe 0.500 0.500 0.000
5 Fe 0.876 0.876 0.374
6 F 0.000 0.000 0.000
7 F 0.047 0.047 0.774
8 F 0.175 0.586 0.868
9 F 0.199 0.801 0.500
10 F 0.265 0.265 0.304
11 F 0.315 0.315 0.077
12 F 0.331 0.331 0.621
13 F 0.414 0.825 0.132
14 F 0.586 0.175 0.868
15 F 0.669 0.669 0.379
16 F 0.685 0.685 0.923
17 F 0.735 0.735 0.696
18 F 0.801 0.199 0.500
19 F 0.825 0.414 0.132
20 F 0.953 0.953 0.226